# 1
Material: CrHgSeN2
Method: DFT, PBE-GGA
State: optimized geometry

Values from the calculation:
As for the electronic total energy: -0.2013 hartree per atom. As for the energy above the most stable polymorph in this dataset: 0 meV per atom. As for the energy relative to the elements, uncorrected: 533 meV/atom.

POSCAR file:
```
CrHgSeN2
1.0
-2.8580 -2.0505 -1.2887
2.1612 -1.2600 -2.7884
1.5772 -4.1433 3.0946
Cr Hg Se N
1 1 1 2
Direct
0.0000 0.0000 0.0000
0.5000 0.5000 0.5000
0.0000 0.0000 0.5000
0.0000 0.5000 0.0000
0.5000 0.0000 0.0000
```

# 2
Material: ScIn2Ru
Method: DFT, PBE-GGA
State: optimized geometry

Values from the calculation:
As for the electronic total energy: -0.1991 hartree per atom.

POSCAR file:
```
ScIn2Ru
1.0
5.1467 -0.0096 0.0000
1.5433 4.9098 0.0000
-3.3450 -2.4501 3.0490
In Ru Sc
2 1 1
Direct
0.0000 0.0000 0.0000
0.2500 0.7500 0.5000
0.5000 0.5000 0.0000
0.7500 0.2500 0.5000
```

# 3
Material: TcHg2Sb
Method: DFT, PBE-GGA
State: optimized geometry

Values from the calculation:
As for the electronic total energy: -0.1158 hartree per atom. As for the energy relative to the elements, uncorrected: 622 meV/atom.

POSCAR file:
```
TcHg2Sb
1.0
-2.8241 -0.0482 1.3663
1.0339 -2.5510 -1.5061
4.2822 -3.4190 8.7309
Hg Sb Tc
2 1 1
Direct
0.0000 0.0000 0.9754
0.0000 0.0000 0.5246
0.5000 0.5000 0.2500
0.5000 0.5000 0.7500
```

# 4
Material: RbTcPCl2
Method: DFT, PBE-GGA
State: optimized geometry

Values from the calculation:
As for the electronic total energy: -0.1068 hartree per atom. As for the energy above the most stable polymorph in this dataset: 1699 meV per atom. As for the energy relative to the elements, uncorrected: 1182 meV/atom.

POSCAR file:
```
RbTcPCl2
1.0
5.8973 0.0000 0.0000
0.0000 5.8973 0.0000
0.0000 0.0000 6.0947
P Tc Rb Cl
1 1 1 2
Direct
0.0000 0.0000 0.5000
0.5000 0.5000 0.5000
0.0000 0.0000 0.0000
0.0000 0.5000 0.0000
0.5000 0.0000 0.0000
```

# 5
Material: Sc3TaNb3N8
Method: DFT, PBE-GGA
State: optimized geometry

Values from the calculation:
As for the electronic total energy: -0.3629 hartree per atom. As for the energy relative to the elements, uncorrected: -1364 meV/atom.

POSCAR file:
```
Sc3TaNb3N8
1.0
-3.0742 0.6726 5.3591
-2.6599 -2.9917 -4.7538
4.8049 -2.7440 3.1007
Sc Ta Nb N
3 1 3 8
Direct
0.0000 0.0000 0.0000
0.0000 0.5000 0.0000
0.5000 0.5000 0.0000
0.0000 0.0000 0.5000
0.5000 0.0000 0.5000
0.5000 0.5000 0.5000
0.0000 0.5000 0.5000
0.2493 0.4986 0.2479
0.7507 0.5014 0.7521
0.7609 0.5217 0.2655
0.2391 0.4783 0.7345
0.7609 0.0047 0.2655
0.2391 0.9953 0.7345
0.2438 0.0047 0.2655
0.7562 0.9953 0.7345
```

# 6
Material: Ca2MgAu
Method: DFT, PBE-GGA
State: optimized geometry

Values from the calculation:
As for the electronic total energy: -0.0919 hartree per atom.

POSCAR file:
```
Ca2MgAu
1.0
5.1778 0.0000 0.0000
2.5889 4.4841 0.0000
2.5889 1.4947 4.2276
Au Ca Mg
1 2 1
Direct
0.5000 0.5000 0.5000
0.0000 0.0000 0.0000
0.2500 0.2500 0.2500
0.7500 0.7500 0.7500
```